Crystalline Nd2ErThSb5 at its relaxed geometry, computed with PBE.

Values from the calculation:
Space-group type: No. 123
Calculated total energy in eV/atom: -4.9772
Formation energy (no corrections) in eV/f.u.: -2.7

Cell: 5.2294 5.2294 11.8763 Å, 90.00 90.00 90.00°
Atoms (fractional coordinates):
Nd (0.0000, 0.0000, 0.2146)
Nd (0.0000, 0.0000, 0.7854)
Er (0.5000, 0.5000, 0.0000)
Th (0.5000, 0.5000, 0.5000)
Sb (0.0000, 0.0000, 0.5000)
Sb (0.0000, 0.5000, 0.0000)
Sb (0.5000, 0.0000, 0.0000)
Sb (0.5000, 0.5000, 0.2504)
Sb (0.5000, 0.5000, 0.7496)